[1]
# PBE CsSn3P, optimized geometry
# DFT formation energy   270 meV per atom
# Volume   168 Å³/f.u.
data_CsSn3P
_symmetry_space_group_name_H-M 'P m -3 m'
_symmetry_Int_Tables_number 221
_symmetry_space_group_name_Hall '-P 4 2 3'
_cell_length_a 5.5212
_cell_length_b 5.5212
_cell_length_c 5.5212
_cell_angle_alpha 90.00
_cell_angle_beta 90.00
_cell_angle_gamma 90.00
loop_
_atom_site_label
_atom_site_fract_x
_atom_site_fract_y
_atom_site_fract_z
Cs1 0.0000 0.0000 0.0000
Sn1 0.0000 0.5000 0.5000
P1 0.5000 0.5000 0.5000

***

[2]
# PBE La6CdCo, optimized geometry
# DFT formation energy   73 meV per atom
# Volume   287 Å³/f.u.
data_La6CdCo
_symmetry_space_group_name_H-M 'C 1 2/m 1'
_symmetry_Int_Tables_number 12
_cell_length_a 13.4407
_cell_length_b 10.0929
_cell_length_c 9.0508
_cell_angle_alpha 90.00
_cell_angle_beta 110.68
_cell_angle_gamma 90.00
loop_
_symmetry_equiv_pos_as_xyz
'x,y,z'
'-x,-y,-z'
'-x,y,-z'
'x,-y,z'
'x+1/2,y+1/2,z'
'-x+1/2,-y+1/2,-z'
'-x+1/2,y+1/2,-z'
'x+1/2,-y+1/2,z'
loop_
_atom_site_label
_atom_site_fract_x
_atom_site_fract_y
_atom_site_fract_z
La1 0.0904 0.2006 0.2006
La2 0.0980 0.5000 0.9204
La3 0.1269 0.1739 0.6387
La4 0.1518 0.5000 0.4856
Cd1 0.2500 0.2500 0.0000
Co1 0.2500 0.2500 0.5000